Ac7TlRu2: relaxed, PBE.

Computed properties:
* size of the total moment: 0.0 μB per formula unit
* energy: -5.04 eV per atom
* energy relative to the elements: -0.075 eV/atom
* DOS(E_F): 9.57 states/eV/f.u.

a = 8.907 Å, b = 8.907 Å, c = 5.472 Å
α = 90.00°, β = 90.00°, γ = 111.66°
Atoms (fractional coordinates):
Ac  0.000  0.000  0.000
Ac  0.186  0.449  0.000
Ac  0.207  0.793  0.500
Ac  0.449  0.186  0.000
Ac  0.551  0.814  0.000
Ac  0.793  0.207  0.500
Ac  0.814  0.551  0.000
Tl  0.500  0.500  0.500
Ru  0.195  0.805  0.000
Ru  0.805  0.195  0.000

---

Ac3TlRu: relaxed, PBE.

Computed properties:
* size of the total moment: 0.0 μB per formula unit
* energy: -5.07 eV per atom
* energy above the most stable polymorph in this dataset: 0 meV/atom
* energy relative to the elements: -0.279 eV/atom
* DOS(E_F): 4.04 states/eV/f.u.

a = 10.298 Å, b = 4.284 Å, c = 16.253 Å
α = 90.00°, β = 90.00°, γ = 90.00°
Atoms (fractional coordinates):
Ac  0.021  0.250  0.107
Ac  0.168  0.250  0.502
Ac  0.222  0.750  0.286
Ac  0.278  0.250  0.786
Ac  0.332  0.750  0.002
Ac  0.479  0.750  0.607
Ac  0.521  0.250  0.393
Ac  0.668  0.250  0.998
Ac  0.722  0.750  0.214
Ac  0.778  0.250  0.714
Ac  0.832  0.750  0.498
Ac  0.979  0.750  0.893
Tl  0.056  0.750  0.673
Tl  0.444  0.250  0.173
Tl  0.556  0.750  0.827
Tl  0.944  0.250  0.327
Ru  0.166  0.250  0.940
Ru  0.334  0.750  0.440
Ru  0.666  0.250  0.560
Ru  0.834  0.750  0.060

---

Ac2TlRu: relaxed, PBE.

Computed properties:
* size of the total moment: 0.0 μB per formula unit
* energy: -5.16 eV per atom
* energy above the most stable polymorph in this dataset: 0 meV/atom
* energy relative to the elements: -0.199 eV/atom
* DOS(E_F): 3.74 states/eV/f.u.

a = 7.931 Å, b = 5.828 Å, c = 11.623 Å
α = 90.00°, β = 90.00°, γ = 90.00°
Atoms (fractional coordinates):
Ac  0.060  0.250  0.220
Ac  0.157  0.250  0.570
Ac  0.343  0.750  0.070
Ac  0.440  0.750  0.720
Ac  0.560  0.250  0.280
Ac  0.657  0.250  0.930
Ac  0.843  0.750  0.430
Ac  0.940  0.750  0.780
Tl  0.149  0.250  0.895
Tl  0.351  0.750  0.395
Tl  0.649  0.250  0.605
Tl  0.851  0.750  0.105
Ru  0.148  0.750  0.593
Ru  0.352  0.250  0.093
Ru  0.648  0.750  0.907
Ru  0.852  0.250  0.407

---

Ac2TlRu: relaxed, PBE.

Computed properties:
* size of the total moment: 0.0 μB per formula unit
* energy: -4.97 eV per atom
* energy above the most stable polymorph in this dataset: 199 meV/atom
* energy relative to the elements: 0.000 eV/atom
* DOS(E_F): 4.03 states/eV/f.u.

a = 10.721 Å, b = 10.721 Å, c = 10.721 Å
α = 22.61°, β = 22.61°, γ = 22.61°
Atoms (fractional coordinates):
Ac  0.115  0.115  0.115
Ac  0.885  0.885  0.885
Tl  0.000  0.000  0.000
Ru  0.500  0.500  0.500

---

Ac8Tl2Ru: relaxed, PBE.

Computed properties:
* size of the total moment: 0.0 μB per formula unit
* energy: -4.40 eV per atom
* energy relative to the elements: -0.141 eV/atom
* DOS(E_F): 13.52 states/eV/f.u.

a = 10.769 Å, b = 10.769 Å, c = 8.012 Å
α = 93.14°, β = 93.14°, γ = 27.60°
Atoms (fractional coordinates):
Ac  0.004  0.004  0.276
Ac  0.219  0.219  0.815
Ac  0.365  0.365  0.490
Ac  0.405  0.405  0.999
Ac  0.595  0.595  0.001
Ac  0.635  0.635  0.510
Ac  0.781  0.781  0.185
Ac  0.996  0.996  0.724
Tl  0.178  0.178  0.250
Tl  0.822  0.822  0.750
Ru  0.500  0.500  0.500

---

Ac7Tl3Ru2: relaxed, PBE.

Computed properties:
* size of the total moment: 0.0 μB per formula unit
* energy: -4.74 eV per atom
* energy relative to the elements: -0.205 eV/atom
* DOS(E_F): 10.30 states/eV/f.u.

a = 14.315 Å, b = 14.315 Å, c = 5.580 Å
α = 90.00°, β = 90.00°, γ = 157.23°
Atoms (fractional coordinates):
Ac  0.000  0.000  0.000
Ac  0.093  0.907  0.500
Ac  0.208  0.792  0.000
Ac  0.389  0.611  0.000
Ac  0.611  0.389  0.000
Ac  0.792  0.208  0.000
Ac  0.907  0.093  0.500
Tl  0.296  0.704  0.500
Tl  0.500  0.500  0.500
Tl  0.704  0.296  0.500
Ru  0.104  0.896  0.000
Ru  0.896  0.104  0.000

---

Ac12TlRu4: relaxed, PBE.

Computed properties:
* size of the total moment: 0.0 μB per formula unit
* energy: -5.34 eV per atom
* energy relative to the elements: -0.116 eV/atom
* DOS(E_F): 17.20 states/eV/f.u.

a = 9.619 Å, b = 9.619 Å, c = 9.619 Å
α = 109.47°, β = 109.47°, γ = 109.47°
Atoms (fractional coordinates):
Ac  0.117  0.299  0.818
Ac  0.182  0.481  0.299
Ac  0.182  0.883  0.701
Ac  0.299  0.182  0.481
Ac  0.299  0.818  0.117
Ac  0.481  0.299  0.182
Ac  0.519  0.701  0.818
Ac  0.701  0.182  0.883
Ac  0.701  0.818  0.519
Ac  0.818  0.117  0.299
Ac  0.818  0.519  0.701
Ac  0.883  0.701  0.182
Tl  0.000  0.000  0.000
Ru  0.000  0.000  0.500
Ru  0.000  0.500  0.000
Ru  0.500  0.000  0.000
Ru  0.500  0.500  0.500

---

Ac5Tl2Ru2: relaxed, PBE.

Computed properties:
* size of the total moment: 0.0 μB per formula unit
* energy: -5.06 eV per atom
* energy above the most stable polymorph in this dataset: 35 meV/atom
* energy relative to the elements: -0.188 eV/atom
* DOS(E_F): 6.24 states/eV/f.u.

a = 9.429 Å, b = 9.429 Å, c = 5.998 Å
α = 98.31°, β = 98.31°, γ = 35.94°
Atoms (fractional coordinates):
Ac  0.000  0.000  0.000
Ac  0.164  0.164  0.507
Ac  0.334  0.334  0.048
Ac  0.666  0.666  0.952
Ac  0.836  0.836  0.493
Tl  0.443  0.443  0.647
Tl  0.557  0.557  0.353
Ru  0.158  0.158  0.016
Ru  0.842  0.842  0.984

---

Ac8Tl2Ru3: relaxed, PBE.

Computed properties:
* size of the total moment: 0.0 μB per formula unit
* energy: -5.20 eV per atom
* energy relative to the elements: -0.163 eV/atom
* DOS(E_F): 11.26 states/eV/f.u.

a = 8.826 Å, b = 4.278 Å, c = 14.212 Å
α = 90.00°, β = 106.75°, γ = 90.00°
Atoms (fractional coordinates):
Ac  0.067  0.000  0.380
Ac  0.178  0.500  0.860
Ac  0.349  0.500  0.621
Ac  0.426  0.000  0.122
Ac  0.574  0.000  0.878
Ac  0.651  0.500  0.379
Ac  0.822  0.500  0.140
Ac  0.933  0.000  0.620
Tl  0.243  0.500  0.255
Tl  0.757  0.500  0.745
Ru  0.244  0.000  0.724
Ru  0.500  0.500  0.000
Ru  0.756  0.000  0.276

---

Ac6Tl6Ru: relaxed, PBE.

Computed properties:
* size of the total moment: 0.0 μB per formula unit
* energy: -3.76 eV per atom
* energy relative to the elements: -0.055 eV/atom
* DOS(E_F): 14.67 states/eV/f.u.

a = 6.972 Å, b = 6.972 Å, c = 11.328 Å
α = 90.00°, β = 90.00°, γ = 120.00°
Atoms (fractional coordinates):
Ac  0.000  0.000  0.236
Ac  0.000  0.000  0.764
Ac  0.333  0.667  0.000
Ac  0.333  0.667  0.500
Ac  0.667  0.333  0.000
Ac  0.667  0.333  0.500
Tl  0.000  0.500  0.256
Tl  0.000  0.500  0.744
Tl  0.500  0.000  0.256
Tl  0.500  0.000  0.744
Tl  0.500  0.500  0.256
Tl  0.500  0.500  0.744
Ru  0.000  0.000  0.000

---

Ac12Tl3Ru5: relaxed, PBE.

Computed properties:
* size of the total moment: 0.0 μB per formula unit
* energy: -5.20 eV per atom
* energy relative to the elements: -0.062 eV/atom
* DOS(E_F): 14.85 states/eV/f.u.

a = 15.786 Å, b = 15.786 Å, c = 15.786 Å
α = 109.47°, β = 109.47°, γ = 109.47°
Atoms (fractional coordinates):
Ac  0.025  0.204  0.119
Ac  0.025  0.320  0.905
Ac  0.085  0.704  0.680
Ac  0.085  0.881  0.405
Ac  0.095  0.619  0.415
Ac  0.095  0.975  0.680
Ac  0.119  0.025  0.204
Ac  0.119  0.595  0.915
Ac  0.180  0.204  0.585
Ac  0.180  0.475  0.595
Ac  0.204  0.119  0.025
Ac  0.204  0.585  0.180
Ac  0.296  0.320  0.915
Ac  0.296  0.475  0.381
Ac  0.320  0.905  0.025
Ac  0.320  0.915  0.296
Ac  0.381  0.296  0.475
Ac  0.381  0.585  0.905
Ac  0.405  0.085  0.881
Ac  0.405  0.820  0.525
Ac  0.415  0.095  0.619
Ac  0.415  0.820  0.796
Ac  0.475  0.381  0.296
Ac  0.475  0.595  0.180
Ac  0.525  0.405  0.820
Ac  0.525  0.619  0.704
Ac  0.585  0.180  0.204
Ac  0.585  0.905  0.381
Ac  0.595  0.180  0.475
Ac  0.595  0.915  0.119
Ac  0.619  0.415  0.095
Ac  0.619  0.704  0.525
Ac  0.680  0.085  0.704
Ac  0.680  0.095  0.975
Ac  0.704  0.525  0.619
Ac  0.704  0.680  0.085
Ac  0.796  0.415  0.820
Ac  0.796  0.881  0.975
Ac  0.820  0.525  0.405
Ac  0.820  0.796  0.415
Ac  0.881  0.405  0.085
Ac  0.881  0.975  0.796
Ac  0.905  0.025  0.320
Ac  0.905  0.381  0.585
Ac  0.915  0.119  0.595
Ac  0.915  0.296  0.320
Ac  0.975  0.680  0.095
Ac  0.975  0.796  0.881
Tl  0.125  0.250  0.375
Tl  0.125  0.375  0.750
Tl  0.250  0.375  0.125
Tl  0.250  0.875  0.625
Tl  0.375  0.125  0.250
Tl  0.375  0.750  0.125
Tl  0.625  0.250  0.875
Tl  0.625  0.875  0.750
Tl  0.750  0.125  0.375
Tl  0.750  0.625  0.875
Tl  0.875  0.625  0.250
Tl  0.875  0.750  0.625
Ru  0.000  0.000  0.000
Ru  0.000  0.000  0.500
Ru  0.000  0.500  0.000
Ru  0.000  0.500  0.500
Ru  0.125  0.750  0.875
Ru  0.125  0.875  0.250
Ru  0.250  0.125  0.875
Ru  0.250  0.625  0.375
Ru  0.375  0.250  0.625
Ru  0.375  0.625  0.750
Ru  0.500  0.000  0.000
Ru  0.500  0.000  0.500
Ru  0.500  0.500  0.000
Ru  0.500  0.500  0.500
Ru  0.625  0.375  0.250
Ru  0.625  0.750  0.375
Ru  0.750  0.375  0.625
Ru  0.750  0.875  0.125
Ru  0.875  0.125  0.750
Ru  0.875  0.250  0.125

---

Ac3TlRu: relaxed, PBE.

Computed properties:
* size of the total moment: 0.0 μB per formula unit
* energy: -5.00 eV per atom
* energy above the most stable polymorph in this dataset: 68 meV/atom
* energy relative to the elements: -0.211 eV/atom
* DOS(E_F): 6.17 states/eV/f.u.

a = 5.706 Å, b = 5.706 Å, c = 5.706 Å
α = 90.00°, β = 90.00°, γ = 90.00°
Atoms (fractional coordinates):
Ac  0.000  0.000  0.500
Ac  0.000  0.500  0.000
Ac  0.500  0.000  0.000
Tl  0.500  0.500  0.500
Ru  0.000  0.000  0.000

---

Ac8TlRu2: relaxed, PBE.

Computed properties:
* size of the total moment: 0.0 μB per formula unit
* energy: -4.99 eV per atom
* energy above the most stable polymorph in this dataset: 0 meV/atom
* energy relative to the elements: -0.096 eV/atom
* DOS(E_F): 12.88 states/eV/f.u.

a = 8.254 Å, b = 8.254 Å, c = 6.914 Å
α = 92.60°, β = 92.60°, γ = 66.34°
Atoms (fractional coordinates):
Ac  0.073  0.632  0.323
Ac  0.119  0.119  0.191
Ac  0.368  0.927  0.677
Ac  0.369  0.369  0.893
Ac  0.631  0.631  0.107
Ac  0.632  0.073  0.323
Ac  0.881  0.881  0.809
Ac  0.927  0.368  0.677
Tl  0.500  0.500  0.500
Ru  0.279  0.279  0.487
Ru  0.721  0.721  0.513

---

Ac5Tl2Ru: relaxed, PBE.

Computed properties:
* size of the total moment: 0.0 μB per formula unit
* energy: -4.45 eV per atom
* energy above the most stable polymorph in this dataset: 148 meV/atom
* energy relative to the elements: -0.132 eV/atom
* DOS(E_F): 7.79 states/eV/f.u.

a = 6.818 Å, b = 6.818 Å, c = 16.609 Å
α = 90.00°, β = 90.00°, γ = 126.82°
Atoms (fractional coordinates):
Ac  0.093  0.907  0.620
Ac  0.093  0.907  0.880
Ac  0.251  0.749  0.250
Ac  0.405  0.595  0.620
Ac  0.405  0.595  0.880
Ac  0.595  0.405  0.120
Ac  0.595  0.405  0.380
Ac  0.749  0.251  0.750
Ac  0.907  0.093  0.120
Ac  0.907  0.093  0.380
Tl  0.250  0.750  0.051
Tl  0.250  0.750  0.449
Tl  0.750  0.250  0.551
Tl  0.750  0.250  0.949
Ru  0.249  0.751  0.750
Ru  0.751  0.249  0.250

---

Ac6TlRu3: relaxed, PBE.

Computed properties:
* size of the total moment: 0.0 μB per formula unit
* energy: -5.65 eV per atom
* energy relative to the elements: -0.168 eV/atom
* DOS(E_F): 6.84 states/eV/f.u.

a = 12.667 Å, b = 4.343 Å, c = 12.903 Å
α = 90.00°, β = 108.46°, γ = 90.00°
Atoms (fractional coordinates):
Ac  0.027  0.250  0.389
Ac  0.113  0.250  0.950
Ac  0.200  0.750  0.256
Ac  0.282  0.750  0.763
Ac  0.348  0.250  0.531
Ac  0.426  0.750  0.084
Ac  0.574  0.250  0.916
Ac  0.652  0.750  0.469
Ac  0.718  0.250  0.237
Ac  0.800  0.250  0.744
Ac  0.887  0.750  0.050
Ac  0.973  0.750  0.611
Tl  0.445  0.250  0.303
Tl  0.555  0.750  0.697
Ru  0.042  0.250  0.168
Ru  0.184  0.750  0.504
Ru  0.338  0.250  0.915
Ru  0.662  0.750  0.085
Ru  0.816  0.250  0.496
Ru  0.958  0.750  0.832

---

Ac12Tl5Ru2: relaxed, PBE.

Computed properties:
* size of the total moment: 0.0 μB per formula unit
* energy: -4.34 eV per atom
* energy relative to the elements: -0.144 eV/atom
* DOS(E_F): 16.88 states/eV/f.u.

a = 10.218 Å, b = 10.218 Å, c = 10.496 Å
α = 105.27°, β = 105.27°, γ = 49.98°
Atoms (fractional coordinates):
Ac  0.001  0.001  0.205
Ac  0.078  0.597  0.913
Ac  0.101  0.598  0.426
Ac  0.402  0.899  0.574
Ac  0.403  0.922  0.087
Ac  0.496  0.496  0.184
Ac  0.504  0.504  0.816
Ac  0.597  0.078  0.913
Ac  0.598  0.101  0.426
Ac  0.899  0.402  0.574
Ac  0.922  0.403  0.087
Ac  0.999  0.999  0.795
Tl  0.191  0.191  0.838
Tl  0.198  0.198  0.363
Tl  0.500  0.500  0.500
Tl  0.802  0.802  0.637
Tl  0.809  0.809  0.162
Ru  0.248  0.752  0.000
Ru  0.752  0.248  0.000

---

Ac4TlRu2: relaxed, PBE.

Computed properties:
* size of the total moment: 0.0 μB per formula unit
* energy: -5.52 eV per atom
* energy relative to the elements: -0.185 eV/atom
* DOS(E_F): 4.43 states/eV/f.u.

a = 7.568 Å, b = 7.568 Å, c = 14.765 Å
α = 90.00°, β = 90.00°, γ = 146.78°
Atoms (fractional coordinates):
Ac  0.000  0.000  0.000
Ac  0.000  0.000  0.500
Ac  0.267  0.733  0.607
Ac  0.267  0.733  0.893
Ac  0.421  0.579  0.250
Ac  0.579  0.421  0.750
Ac  0.733  0.267  0.107
Ac  0.733  0.267  0.393
Tl  0.107  0.893  0.250
Tl  0.893  0.107  0.750
Ru  0.374  0.626  0.066
Ru  0.374  0.626  0.434
Ru  0.626  0.374  0.566
Ru  0.626  0.374  0.934